1.
# K3ErBr8 (PBE, relaxed)
# E = -3.108 eV per atom
# ΔE_f (raw) = -1.34 eV/atom
data_K3ErBr8
_cell_length_a 7.445
_cell_length_b 7.445
_cell_length_c 15.724
_cell_angle_alpha 90.00
_cell_angle_beta 90.00
_cell_angle_gamma 90.00
_symmetry_space_group_name_H-M 'I 4/m m m'
_symmetry_Int_Tables_number 139
_symmetry_space_group_name_Hall '-I 4 2'
loop_
_atom_site_label
_atom_site_type_symbol
_atom_site_fract_x
_atom_site_fract_y
_atom_site_fract_z
K1 K 0.000 0.000 0.000
K2 K 0.000 0.500 0.250
Er1 Er 0.000 0.000 0.500
Br1 Br 0.226 0.226 0.388

2.
# K2ErBr5 (PBE, relaxed)
# E = -3.689 eV per atom
# ΔE to the lowest computed polymorph = 20 meV per atom
# ΔE_f (raw) = -1.80 eV/atom
data_K2ErBr5
_cell_length_a 5.691
_cell_length_b 16.667
_cell_length_c 15.065
_cell_angle_alpha 90.00
_cell_angle_beta 90.00
_cell_angle_gamma 90.00
_symmetry_space_group_name_H-M 'C m c m'
_symmetry_Int_Tables_number 63
_symmetry_space_group_name_Hall '-C 2c 2'
loop_
_atom_site_label
_atom_site_type_symbol
_atom_site_fract_x
_atom_site_fract_y
_atom_site_fract_z
K1 K 0.000 0.144 0.063
Er1 Er 0.000 0.161 0.750
Br1 Br 0.000 0.044 0.624
Br2 Br 0.000 0.276 0.614
Br3 Br 0.000 0.319 0.250

3.
# K2ErBr5 (PBE, relaxed)
# E = -3.709 eV per atom
# ΔE to the lowest computed polymorph = 0 meV per atom
# ΔE_f (raw) = -1.82 eV/atom
data_K2ErBr5
_cell_length_a 13.515
_cell_length_b 9.040
_cell_length_c 8.561
_cell_angle_alpha 90.00
_cell_angle_beta 90.00
_cell_angle_gamma 90.00
_symmetry_space_group_name_H-M 'P n m a'
_symmetry_Int_Tables_number 62
_symmetry_space_group_name_Hall '-P 2ac 2n'
loop_
_atom_site_label
_atom_site_type_symbol
_atom_site_fract_x
_atom_site_fract_y
_atom_site_fract_z
K1 K 0.171 0.006 0.069
Er1 Er 0.005 0.250 0.575
Br1 Br 0.012 0.250 0.912
Br2 Br 0.067 0.546 0.667
Br3 Br 0.181 0.250 0.395
Br4 Br 0.198 0.750 0.352

4.
# KErBr4 (PBE, relaxed)
# E = -3.877 eV per atom
# ΔE to the lowest computed polymorph = 7 meV per atom
# ΔE_f (raw) = -1.82 eV/atom
data_KErBr4
_cell_length_a 13.750
_cell_length_b 4.244
_cell_length_c 8.360
_cell_angle_alpha 90.00
_cell_angle_beta 103.48
_cell_angle_gamma 90.00
_symmetry_space_group_name_H-M 'C 1 2/m 1'
_symmetry_Int_Tables_number 12
_symmetry_space_group_name_Hall '-C 2y'
loop_
_atom_site_label
_atom_site_type_symbol
_atom_site_fract_x
_atom_site_fract_y
_atom_site_fract_z
K1 K 0.000 0.000 0.000
Er1 Er 0.000 0.500 0.500
Br1 Br 0.116 0.000 0.414
Br2 Br 0.117 0.500 0.814

5.
# KErBr4 (PBE, relaxed)
# E = -3.884 eV per atom
# ΔE to the lowest computed polymorph = 0 meV per atom
# ΔE_f (raw) = -1.83 eV/atom
data_KErBr4
_cell_length_a 10.163
_cell_length_b 16.087
_cell_length_c 7.002
_cell_angle_alpha 90.00
_cell_angle_beta 125.17
_cell_angle_gamma 90.00
_symmetry_space_group_name_H-M 'C 1 2/c 1'
_symmetry_Int_Tables_number 15
_symmetry_space_group_name_Hall '-C 2yc'
loop_
_atom_site_label
_atom_site_type_symbol
_atom_site_fract_x
_atom_site_fract_y
_atom_site_fract_z
K1 K 0.000 0.166 0.250
Er1 Er 0.000 0.422 0.750
Br1 Br 0.165 0.304 0.696
Br2 Br 0.202 0.454 0.232

6.
# KErBr3 (PBE, relaxed)
# E = -3.629 eV per atom
# ΔE_f (raw) = -1.49 eV/atom
data_KErBr3
_cell_length_a 5.590
_cell_length_b 5.590
_cell_length_c 5.590
_cell_angle_alpha 90.00
_cell_angle_beta 90.00
_cell_angle_gamma 90.00
_symmetry_space_group_name_H-M 'P m -3 m'
_symmetry_Int_Tables_number 221
_symmetry_space_group_name_Hall '-P 4 2 3'
loop_
_atom_site_label
_atom_site_type_symbol
_atom_site_fract_x
_atom_site_fract_y
_atom_site_fract_z
K1 K 0.000 0.000 0.000
Er1 Er 0.500 0.500 0.500
Br1 Br 0.000 0.500 0.500

7.
# KLiErBr5 (PBE, relaxed)
# E = -3.750 eV per atom
# ΔE_f (raw) = -1.76 eV/atom
data_KLiErBr5
_cell_length_a 9.224
_cell_length_b 12.652
_cell_length_c 10.500
_cell_angle_alpha 90.00
_cell_angle_beta 113.27
_cell_angle_gamma 90.00
_symmetry_space_group_name_H-M 'C 1 2/c 1'
_symmetry_Int_Tables_number 15
_symmetry_space_group_name_Hall '-C 2yc'
loop_
_atom_site_label
_atom_site_type_symbol
_atom_site_fract_x
_atom_site_fract_y
_atom_site_fract_z
K1 K 0.000 0.151 0.250
Li1 Li 0.000 0.192 0.750
Er1 Er 0.000 0.500 0.000
Br1 Br 0.000 0.420 0.250
Br2 Br 0.112 0.302 0.609
Br3 Br 0.190 0.064 0.931

8.
# KErMnBr6 (PBE, relaxed)
# E = -3.987 eV per atom
# ΔE_f (raw) = -1.22 eV/atom
data_KErMnBr6
_cell_length_a 6.8469
_cell_length_b 6.8469
_cell_length_c 14.9560
_cell_angle_alpha 90.00
_cell_angle_beta 90.00
_cell_angle_gamma 120.00
_symmetry_space_group_name_H-M 'P -3 1 c'
_symmetry_Int_Tables_number 163
_symmetry_space_group_name_Hall '-P 3 2c'
loop_
_atom_site_label
_atom_site_type_symbol
_atom_site_fract_x
_atom_site_fract_y
_atom_site_fract_z
K1 K 0.0000 0.0000 0.0000
Er1 Er 0.3333 0.6667 0.2500
Mn1 Mn 0.3333 0.6667 0.7500
Br1 Br 0.0281 0.3799 0.6484